Entry 1:
# SrPb5Se5 PBE relaxed
# - Formation energy from raw total energies: -0.693 eV/atom
data_SrPb5Se5
_cell_length_a 13.648
_cell_length_b 6.150
_cell_length_c 8.671
_cell_angle_alpha 90.00
_cell_angle_beta 108.54
_cell_angle_gamma 90.00
_symmetry_space_group_name_H-M 'C 1 2/m 1'
_symmetry_Int_Tables_number 12
loop_
_symmetry_equiv_pos_as_xyz
'x,y,z'
'-x,-y,-z'
'-x,y,-z'
'x,-y,z'
'x+1/2,y+1/2,z'
'-x+1/2,-y+1/2,-z'
'-x+1/2,y+1/2,-z'
'x+1/2,-y+1/2,z'
loop_
_atom_site_label
_atom_site_fract_x
_atom_site_fract_y
_atom_site_fract_z
Sr1 0.000 0.000 0.000
Pb1 0.000 0.000 0.500
Pb2 0.152 0.500 0.346
Pb3 0.162 0.500 0.822
Se1 0.000 0.500 0.000
Se2 0.168 0.000 0.337
Se3 0.175 0.000 0.836


Entry 2:
# BaHgCl3 PBE relaxed
# - Energy above the lowest structure with this stoichiometry: 0.12 eV/f.u.
# - Formation energy from raw total energies: -1.247 eV/atom
data_BaHgCl3
_cell_length_a 5.513
_cell_length_b 5.513
_cell_length_c 5.513
_cell_angle_alpha 90.00
_cell_angle_beta 90.00
_cell_angle_gamma 90.00
_symmetry_space_group_name_H-M 'P m -3 m'
_symmetry_Int_Tables_number 221
_symmetry_space_group_name_Hall '-P 4 2 3'
loop_
_atom_site_label
_atom_site_fract_x
_atom_site_fract_y
_atom_site_fract_z
Ba1 0.000 0.000 0.000
Hg1 0.500 0.500 0.500
Cl1 0.000 0.500 0.500


Entry 3:
# ScBe2Si2Tc PBE relaxed
# - Formation energy from raw total energies: -0.416 eV/atom
data_ScBe2Si2Tc
_cell_length_a 3.9733
_cell_length_b 3.9733
_cell_length_c 5.6959
_cell_angle_alpha 90.00
_cell_angle_beta 90.00
_cell_angle_gamma 120.00
_symmetry_space_group_name_H-M 'P -3 m 1'
_symmetry_Int_Tables_number 164
_symmetry_space_group_name_Hall '-P 3 2"'
loop_
_atom_site_label
_atom_site_fract_x
_atom_site_fract_y
_atom_site_fract_z
Sc1 0.0000 0.0000 0.0000
Be1 0.3333 0.6667 0.3003
Si1 0.3333 0.6667 0.7233
Tc1 0.0000 0.0000 0.5000


Entry 4:
# SmTmGaCo PBE relaxed
# - Calculated total energy: -5.125 eV per atom
data_SmTmGaCo
_cell_length_a 6.991
_cell_length_b 6.991
_cell_length_c 6.991
_cell_angle_alpha 90.00
_cell_angle_beta 90.00
_cell_angle_gamma 90.00
_symmetry_space_group_name_H-M 'F -4 3 m'
_symmetry_Int_Tables_number 216
_symmetry_space_group_name_Hall 'F -4 2 3'
loop_
_atom_site_label
_atom_site_fract_x
_atom_site_fract_y
_atom_site_fract_z
Sm1 0.000 0.000 0.000
Tm1 0.000 0.000 0.500
Ga1 0.250 0.250 0.750
Co1 0.250 0.250 0.250


Entry 5:
# GeBOsF2 PBE relaxed
# - Energy above the lowest structure with this stoichiometry: 0.00 eV/f.u.
# - Formation energy from raw total energies: -0.128 eV/atom
data_GeBOsF2
_cell_length_a 3.439
_cell_length_b 3.439
_cell_length_c 5.175
_cell_angle_alpha 90.00
_cell_angle_beta 90.00
_cell_angle_gamma 90.00
_symmetry_space_group_name_H-M 'P 4/m m m'
_symmetry_Int_Tables_number 123
_symmetry_space_group_name_Hall '-P 4 2'
loop_
_atom_site_label
_atom_site_fract_x
_atom_site_fract_y
_atom_site_fract_z
Ge1 0.000 0.000 0.000
B1 0.500 0.500 0.500
Os1 0.500 0.500 0.000
F1 0.000 0.500 0.500


Entry 6:
# Sr2ZnSe PBE relaxed
# - Energy above the lowest structure with this stoichiometry: 2.82 eV/f.u.
# - Formation energy from raw total energies: -0.249 eV/atom
data_Sr2ZnSe
_cell_length_a 7.847
_cell_length_b 7.847
_cell_length_c 7.847
_cell_angle_alpha 90.00
_cell_angle_beta 90.00
_cell_angle_gamma 90.00
_symmetry_space_group_name_H-M 'F -4 3 m'
_symmetry_Int_Tables_number 216
_symmetry_space_group_name_Hall 'F -4 2 3'
loop_
_atom_site_label
_atom_site_fract_x
_atom_site_fract_y
_atom_site_fract_z
Sr1 0.000 0.000 0.000
Sr2 0.250 0.250 0.250
Zn1 0.250 0.250 0.750
Se1 0.000 0.000 0.500


Entry 7:
# Tb2Ga4Co3Ni PBE relaxed
# - Calculated total energy: -5.289 eV per atom
data_Tb2Ga4Co3Ni
_cell_length_a 4.055
_cell_length_b 4.055
_cell_length_c 9.906
_cell_angle_alpha 90.00
_cell_angle_beta 90.00
_cell_angle_gamma 90.00
_symmetry_space_group_name_H-M 'P -4 m 2'
_symmetry_Int_Tables_number 115
loop_
_symmetry_equiv_pos_as_xyz
'x,y,z'
'y,-x,-z'
'-x,-y,z'
'-y,x,-z'
'-x,y,z'
'-y,-x,-z'
'x,-y,z'
'y,x,-z'
loop_
_atom_site_label
_atom_site_fract_x
_atom_site_fract_y
_atom_site_fract_z
Tb1 0.000 0.500 0.246
Ga1 0.000 0.000 0.500
Ga2 0.000 0.500 0.873
Ga3 0.500 0.500 0.500
Co1 0.000 0.000 0.000
Co2 0.000 0.500 0.634
Ni1 0.500 0.500 0.000


Entry 8:
# Sr4TlPd PBE relaxed
# - Calculated total energy: -2.749 eV per atom
data_Sr4TlPd
_cell_length_a 10.142
_cell_length_b 14.869
_cell_length_c 7.116
_cell_angle_alpha 90.00
_cell_angle_beta 120.02
_cell_angle_gamma 90.00
_symmetry_space_group_name_H-M 'C 1 2/c 1'
_symmetry_Int_Tables_number 15
loop_
_symmetry_equiv_pos_as_xyz
'x,y,z'
'-x,-y,-z'
'-x,y,-z+1/2'
'x,-y,z+1/2'
'x+1/2,y+1/2,z'
'-x+1/2,-y+1/2,-z'
'-x+1/2,y+1/2,-z+1/2'
'x+1/2,-y+1/2,z+1/2'
loop_
_atom_site_label
_atom_site_fract_x
_atom_site_fract_y
_atom_site_fract_z
Sr1 0.118 0.173 0.082
Sr2 0.212 0.437 0.294
Tl1 0.000 0.366 0.750
Pd1 0.000 0.003 0.250


Entry 9:
# AlCu2Ni3 PBE relaxed
# - Energy above the lowest structure with this stoichiometry: 0.88 eV/f.u.
data_AlCu2Ni3
_cell_length_a 5.000
_cell_length_b 12.556
_cell_length_c 4.557
_cell_angle_alpha 90.00
_cell_angle_beta 90.00
_cell_angle_gamma 90.00
_symmetry_space_group_name_H-M 'C m c m'
_symmetry_Int_Tables_number 63
_symmetry_space_group_name_Hall '-C 2c 2'
loop_
_atom_site_label
_atom_site_fract_x
_atom_site_fract_y
_atom_site_fract_z
Al1 0.000 0.157 0.250
Cu1 0.247 0.500 0.000
Ni1 0.000 0.346 0.750
Ni2 0.249 0.322 0.250


Entry 10:
# ScMnAl3 PBE relaxed
# - Energy above the lowest structure with this stoichiometry: 0.40 eV/f.u.
data_ScMnAl3
_cell_length_a 6.1560
_cell_length_b 6.1560
_cell_length_c 5.2678
_cell_angle_alpha 90.00
_cell_angle_beta 90.00
_cell_angle_gamma 120.00
_symmetry_space_group_name_H-M 'P 63/m m c'
_symmetry_Int_Tables_number 194
_symmetry_space_group_name_Hall '-P 6c 2c'
loop_
_atom_site_label
_atom_site_fract_x
_atom_site_fract_y
_atom_site_fract_z
Sc1 0.3333 0.6667 0.2500
Mn1 0.0000 0.0000 0.0000
Al1 0.1893 0.3786 0.7500


Entry 11:
# La2Dy3YTe6 PBE relaxed
# - Formation energy from raw total energies: -1.390 eV/atom
data_La2Dy3YTe6
_cell_length_a 19.336
_cell_length_b 4.407
_cell_length_c 8.922
_cell_angle_alpha 90.00
_cell_angle_beta 103.68
_cell_angle_gamma 90.00
_symmetry_space_group_name_H-M 'C 1 2/m 1'
_symmetry_Int_Tables_number 12
loop_
_symmetry_equiv_pos_as_xyz
'x,y,z'
'-x,-y,-z'
'-x,y,-z'
'x,-y,z'
'x+1/2,y+1/2,z'
'-x+1/2,-y+1/2,-z'
'-x+1/2,y+1/2,-z'
'x+1/2,-y+1/2,z'
loop_
_atom_site_label
_atom_site_fract_x
_atom_site_fract_y
_atom_site_fract_z
La1 0.167 0.000 0.334
Dy1 0.000 0.500 0.500
Dy2 0.171 0.000 0.835
Y1 0.000 0.500 0.000
Te1 0.005 0.000 0.752
Te2 0.162 0.500 0.593
Te3 0.165 0.500 0.071


Entry 12:
# ZnBi2TeOs PBE relaxed
# - Formation energy from raw total energies: 1.422 eV/atom
data_ZnBi2TeOs
_cell_length_a 5.968
_cell_length_b 5.968
_cell_length_c 4.845
_cell_angle_alpha 90.00
_cell_angle_beta 90.00
_cell_angle_gamma 90.00
_symmetry_space_group_name_H-M 'P 4/m m m'
_symmetry_Int_Tables_number 123
_symmetry_space_group_name_Hall '-P 4 2'
loop_
_atom_site_label
_atom_site_fract_x
_atom_site_fract_y
_atom_site_fract_z
Zn1 0.000 0.000 0.000
Bi1 0.000 0.500 0.500
Te1 0.500 0.500 0.500
Os1 0.500 0.500 0.000


no.,volume (Å³/atom)
1,31.4
2,33.5
3,13.0
4,21.4
5,12.2
6,30.2
7,16.3
8,38.7
9,11.9
10,17.3
11,30.8
12,34.5